Version w
VSiSn3 | PBE | relaxed

Values from the calculation:
M_tot	3.56	μB per formula unit
theoretical density	5220	kg/m3
SG	Pm-3m (221)
crystal system	cubic

```
data_VSiSn3
_space_group_name_H-M_alt 'P 1'
_space_group_IT_number 1
_cell_length_a 5.1731
_cell_length_b 5.1731
_cell_length_c 5.1731
_cell_angle_alpha 90.00
_cell_angle_beta 90.00
_cell_angle_gamma 90.00
loop_
_space_group_symop_operation_xyz
'x,y,z'
loop_
_atom_site_label
_atom_site_type_symbol
_atom_site_fract_x
_atom_site_fract_y
_atom_site_fract_z
V1 V 0.0000 0.0000 0.0000
Si1 Si 0.5000 0.5000 0.5000
Sn1 Sn 0.0000 0.5000 0.5000
Sn2 Sn 0.5000 0.0000 0.5000
Sn3 Sn 0.5000 0.5000 0.0000
```

Version x
VSiSn3 | PBE | relaxed

Values from the calculation:
M_tot	0.71	μB per formula unit
theoretical density	5328	kg/m3
SG	Pm-3m (221)
crystal system	cubic

```
data_VSiSn3
_space_group_name_H-M_alt 'P 1'
_space_group_IT_number 1
_cell_length_a 5.1379
_cell_length_b 5.1379
_cell_length_c 5.1379
_cell_angle_alpha 90.00
_cell_angle_beta 90.00
_cell_angle_gamma 90.00
loop_
_space_group_symop_operation_xyz
'x,y,z'
loop_
_atom_site_label
_atom_site_type_symbol
_atom_site_fract_x
_atom_site_fract_y
_atom_site_fract_z
V1 V 0.0000 0.0000 0.0000
Si1 Si 0.5000 0.5000 0.5000
Sn1 Sn 0.0000 0.0000 0.5000
Sn2 Sn 0.0000 0.5000 0.0000
Sn3 Sn 0.5000 0.0000 0.0000
```

Stability, lowest: version w

Version w
V3SiSn | PBE | relaxed

Values from the calculation:
M_tot	3.60	μB per formula unit
theoretical density	5618	kg/m3
SG	Pm-3m (221)
crystal system	cubic

```
data_V3SiSn
_space_group_name_H-M_alt 'P 1'
_space_group_IT_number 1
_cell_length_a 4.4574
_cell_length_b 4.4574
_cell_length_c 4.4574
_cell_angle_alpha 90.00
_cell_angle_beta 90.00
_cell_angle_gamma 90.00
loop_
_space_group_symop_operation_xyz
'x,y,z'
loop_
_atom_site_label
_atom_site_type_symbol
_atom_site_fract_x
_atom_site_fract_y
_atom_site_fract_z
V1 V 0.0000 0.0000 0.5000
V2 V 0.0000 0.5000 0.0000
V3 V 0.5000 0.0000 0.0000
Si1 Si 0.0000 0.0000 0.0000
Sn1 Sn 0.5000 0.5000 0.5000
```

Version x
V3SiSn | PBE | relaxed

Values from the calculation:
M_tot	7.17	μB per formula unit
theoretical density	4117	kg/m3
SG	Pm-3m (221)
crystal system	cubic

```
data_V3SiSn
_space_group_name_H-M_alt 'P 1'
_space_group_IT_number 1
_cell_length_a 4.9439
_cell_length_b 4.9439
_cell_length_c 4.9439
_cell_angle_alpha 90.00
_cell_angle_beta 90.00
_cell_angle_gamma 90.00
loop_
_space_group_symop_operation_xyz
'x,y,z'
loop_
_atom_site_label
_atom_site_type_symbol
_atom_site_fract_x
_atom_site_fract_y
_atom_site_fract_z
V1 V 0.0000 0.0000 0.5000
V2 V 0.0000 0.5000 0.0000
V3 V 0.5000 0.0000 0.0000
Si1 Si 0.5000 0.5000 0.5000
Sn1 Sn 0.0000 0.0000 0.0000
```

Stability, lowest: version x